1.
Below is a relaxed Ce3In2Pt3 crystal, with properties calculated at the GGA-PBE level.

The structure in extended XYZ format:
```
8
Lattice="-0.0063 -3.1104 -1.8365 3.5335 1.7442 -2.9663 5.6331 -3.1897 8.9352" Properties=species:S:1:pos:R:3 pbc="T T T"
Ce 3.5530 -1.6200 -0.8207
Ce 5.6073 -2.9359 4.9531
Ce -0.0032 -1.5552 -0.9182
In 3.3924 -3.3331 2.0812
In 5.7679 -1.2228 2.0512
Pt 1.6879 -0.8837 1.4910
Pt 1.7668 0.8721 -1.4832
Pt 7.4724 -3.6721 2.6414
```

## Properties
As for the space-group type: No. 71. Its energy is -5.9055 eV per atom. As for the crystal system: orthorhombic. The formation energy comes out at -0.730 eV per atom.



2.
Below is a relaxed Ce6In14Pt11 crystal, with properties calculated at the GGA-PBE level.

The structure in extended XYZ format:
```
31
Lattice="-4.7778 -3.6872 -9.9735 -1.4806 -6.6453 -9.4626 -10.2126 -11.2817 0.5888" Properties=species:S:1:pos:R:3 pbc="T T T"
Ce -5.8551 -8.6403 -12.2407
Ce -10.6562 -13.0398 -6.7284
Ce -7.3168 -8.5016 -2.0034
Ce -9.1940 -13.1777 -16.9634
Ce -4.6501 -5.6140 -2.4946
Ce -11.8600 -16.0643 -16.4711
Pt -8.9644 -12.2193 -12.8959
Pt -4.5420 -6.2562 -6.9105
Pt -1.3923 -1.7648 -1.2329
Pt -13.4730 -17.5048 -14.4017
Pt -3.2582 -3.7183 -0.5007
Pt -7.5458 -9.4592 -6.0700
Pt -15.1201 -19.9165 -17.7361
Pt -13.2538 -17.9625 -18.4668
Pt -3.0381 -4.1752 -4.5677
Pt -5.1268 -5.6738 0.2356
Pt -11.9696 -15.4243 -12.0580
In -13.8195 -17.3948 -11.5286
In -2.6923 -4.2859 -7.4402
In -9.1598 -10.9282 -4.1594
In -5.0985 -7.3083 -9.4110
In -7.2950 -9.6601 -8.8521
In -6.9101 -10.8422 -18.1812
In -9.2161 -12.0194 -10.1142
In -11.4136 -14.3726 -9.5574
In -11.4304 -13.3375 -3.4547
In -7.3514 -10.7516 -14.8082
In -5.9343 -7.4569 -4.8771
In -9.6020 -10.8387 -0.7874
In -5.0808 -8.3427 -15.5146
In -10.5758 -14.2215 -14.0894
```

## Properties
As for the space-group type: No. 12. Its energy is -5.2344 eV per atom. As for the crystal system: monoclinic. The formation energy comes out at -0.706 eV per atom.



3.
Below is a relaxed CeIn3Pt crystal, with properties calculated at the GGA-PBE level.

The structure in extended XYZ format:
```
40
Lattice="9.8387 0.0000 0.0000 0.0000 9.8387 0.0000 0.0000 0.0000 9.8387" Properties=species:S:1:pos:R:3 pbc="T T T"
Ce 0.0000 0.0000 0.0000
Ce 4.9193 4.9193 4.9193
Ce 2.4597 0.0000 4.9193
Ce 7.3790 0.0000 4.9193
Ce 4.9193 2.4597 0.0000
Ce 4.9193 7.3790 0.0000
Ce 0.0000 4.9193 2.4597
Ce 0.0000 4.9193 7.3790
In 0.0000 1.4948 3.1519
In 0.0000 8.3439 6.6868
In 0.0000 8.3439 3.1519
In 0.0000 1.4948 6.6868
In 3.1519 0.0000 1.4948
In 6.4141 4.9193 1.7674
In 6.6868 0.0000 8.3439
In 3.4246 4.9193 8.0713
In 3.1519 0.0000 8.3439
In 3.4246 4.9193 1.7674
In 6.6868 0.0000 1.4948
In 6.4141 4.9193 8.0713
In 1.4948 3.1519 0.0000
In 4.9193 8.0713 3.4246
In 8.3439 6.6868 0.0000
In 4.9193 1.7674 6.4141
In 1.4948 6.6868 0.0000
In 4.9193 1.7674 3.4246
In 8.3439 3.1519 0.0000
In 4.9193 8.0713 6.4141
In 1.7674 6.4141 4.9193
In 8.0713 3.4246 4.9193
In 1.7674 3.4246 4.9193
In 8.0713 6.4141 4.9193
Pt 2.4597 2.4597 2.4597
Pt 7.3790 7.3790 7.3790
Pt 7.3790 7.3790 2.4597
Pt 7.3790 2.4597 7.3790
Pt 2.4597 2.4597 7.3790
Pt 2.4597 7.3790 2.4597
Pt 2.4597 7.3790 7.3790
Pt 7.3790 2.4597 2.4597
```

## Properties
As for the space-group type: No. 223. Its energy is -4.5933 eV per atom. As for the crystal system: cubic. The formation energy comes out at -0.555 eV per atom.



4.
Below is a relaxed CeInPt4 crystal, with properties calculated at the GGA-PBE level.

The structure in extended XYZ format:
```
6
Lattice="5.4269 0.0000 0.0000 2.7135 4.6998 0.0000 2.7135 1.5666 4.4311" Properties=species:S:1:pos:R:3 pbc="T T T"
Ce 0.0000 0.0000 0.0000
In 2.7135 1.5666 1.1078
Pt 5.4269 3.1332 0.5607
Pt 5.4269 1.5731 2.7671
Pt 4.0758 3.9133 2.7671
Pt 6.7781 3.9133 2.7671
```

## Properties
As for the space-group type: No. 216. Its energy is -6.3044 eV per atom. As for the crystal system: cubic. The formation energy comes out at -0.832 eV per atom.



5.
Below is a relaxed Ce12InPt4 crystal, with properties calculated at the GGA-PBE level.

The structure in extended XYZ format:
```
17
Lattice="-6.3305 5.1875 2.8716 2.2667 -5.5418 6.2755 6.8712 4.7936 -2.2447" Properties=species:S:1:pos:R:3 pbc="T T T"
Ce -3.4082 3.5523 4.1065
Ce -0.0607 -0.2204 3.5618
Ce -0.2025 6.6577 1.6948
Ce 4.2658 4.7816 0.1946
Ce 3.0099 -2.2183 5.2075
Ce 2.8681 4.6598 3.3405
Ce -0.3885 3.2248 1.4792
Ce 3.1959 1.2145 5.4231
Ce -1.4584 -0.3422 6.7078
Ce -0.2654 3.2950 5.4928
Ce 3.0729 1.1443 1.4095
Ce 6.2157 0.8870 2.7958
In 0.0000 0.0000 0.0000
Pt 1.1334 -2.7709 3.1378
Pt -3.1653 2.5938 1.4358
Pt 1.4037 2.2197 3.4512
Pt 3.4356 2.3968 -1.1224
```

## Properties
As for the space-group type: No. 204. Its energy is -6.0600 eV per atom. As for the crystal system: cubic. The formation energy comes out at -0.289 eV per atom.



6.
Below is a relaxed Ce5InPt3 crystal, with properties calculated at the GGA-PBE level.

The structure in extended XYZ format:
```
18
Lattice="-5.1925 -2.2858 1.0849 3.9099 -8.1745 1.4902 -1.1356 5.8843 6.9629" Properties=species:S:1:pos:R:3 pbc="T T T"
Ce 2.2284 -3.4875 3.3173
Ce -2.0503 0.0545 5.6783
Ce 0.5460 1.1974 5.1359
Ce -0.3679 -4.6305 3.8597
Ce -2.0401 -3.2440 6.4656
Ce -0.3616 -7.9374 4.6107
Ce -2.5975 -4.4258 1.3080
Ce -0.3781 -1.3320 3.0724
Ce -2.0566 3.3614 4.9273
Ce 1.3149 -6.0345 1.2671
In 0.0000 0.0000 0.0000
In -2.5963 -1.1429 0.5425
Pt -2.9669 -2.4804 3.6388
Pt -4.6501 2.2028 5.4498
Pt -1.2919 -7.1554 1.8056
Pt 0.5487 -2.0956 5.8993
Pt 2.2319 -6.7788 4.0882
Pt 0.0093 -3.3049 0.7695
```

## Properties
As for the space-group type: No. 193. Its energy is -6.3069 eV per atom. As for the crystal system: hexagonal. The formation energy comes out at -0.692 eV per atom.



7.
Below is a relaxed Ce8In3Pt crystal, with properties calculated at the GGA-PBE level.

The structure in extended XYZ format:
```
12
Lattice="9.5179 0.0064 0.1069 -5.2395 5.2849 2.9551 -0.9619 -0.0012 6.0180" Properties=species:S:1:pos:R:3 pbc="T T T"
Ce -4.1784 5.2809 7.9464
Ce 2.2801 2.8478 3.7518
Ce -2.9594 2.4380 6.7064
Ce -0.7738 5.2858 8.2092
Ce 6.6376 0.0065 2.5101
Ce 5.1126 2.5802 4.0326
Ce -0.1283 2.7211 6.9843
Ce -5.2587 5.2840 5.0171
In 3.2299 2.6883 6.8948
In -1.0482 2.5990 3.8307
In -2.0009 5.2862 5.1514
Pt 2.3077 5.2876 8.3303
```

## Properties
As for the space-group type: No. 1. Its energy is -5.4190 eV per atom. As for the crystal system: triclinic. The formation energy comes out at -0.275 eV per atom.



8.
Below is a relaxed Ce6InPt crystal, with properties calculated at the GGA-PBE level.

The structure in extended XYZ format:
```
8
Lattice="-3.8724 -1.1362 4.9261 1.1260 -3.2304 7.6427 2.7152 3.6981 3.5990" Properties=species:S:1:pos:R:3 pbc="T T T"
Ce 1.9534 1.6369 5.7032
Ce -0.4437 -1.9005 13.4227
Ce -0.9221 -1.2962 4.9453
Ce 0.4125 1.2321 2.7452
Ce -1.9846 -2.3054 10.4647
Ce 0.8909 0.6277 11.2225
In -0.0156 -0.3342 8.0839
Pt 0.0000 0.0000 0.0000
```

## Properties
As for the space-group type: No. 2. Its energy is -5.8650 eV per atom. As for the crystal system: triclinic. The formation energy comes out at -0.317 eV per atom.